# 1
Material: Mg2Cl
Method: DFT, PBE
State: relaxed

Cell lengths 12.9257, 3.4006, 8.2190 Å; angles 90.00, 120.00, 90.00 degrees
Space group Cm (No. 8)
Inequivalent atoms, fractional coordinates:
Mg  0.0000  0.0000  0.0000
Mg  0.0671  0.5000  0.3560
Mg  0.2480  0.0000  0.7721
Mg  0.3367  0.5000  0.5672
Cl  0.1657  0.5000  0.9026
Cl  0.3817  0.0000  0.3913

- Formation energy without anion corrections: -615 meV per atom
- ΔE to the lowest computed polymorph: 47.9 meV per atom


# 2
Material: MgCl5
Method: DFT, PBE
State: relaxed

Cell lengths 3.7256, 5.0146, 9.6268 Å; angles 90.00, 98.90, 90.00 degrees
Space group Pm (No. 6)
Inequivalent atoms, fractional coordinates:
Mg  0.0000  0.0000  0.0000
Cl  0.4292  0.0000  0.8218
Cl  0.4758  0.5000  0.6006
Cl  0.5233  0.5000  0.3987
Cl  0.5701  0.0000  0.1772
Cl  0.9989  0.5000  0.9981

- Formation energy without anion corrections: -742 meV per atom
- ΔE to the lowest computed polymorph: 2.7 meV per atom